AcPuCuAs: relaxed, PBE.

Values from the calculation:
total magnetization = 6.75 μB per formula unit
formation energy from the elements = -0.42 eV per atom
calculated total energy = -28.8 eV per formula unit
volume = 25.3 A^3/atom

Unit cell a=7.3996 b=7.3996 c=7.3996 alpha=90.00 beta=90.00 gamma=90.00
Closest atoms and distances in Å follow each position.
Atoms (fractional coordinates):
Ac1 0.0000 0.0000 0.0000  4 As 3.20, 4 Cu 3.20
Ac2 0.0000 0.5000 0.5000  4 As 3.20, 4 Cu 3.20
Ac3 0.5000 0.0000 0.5000  4 As 3.20, 4 Cu 3.20
Ac4 0.5000 0.5000 0.0000  4 As 3.20, 4 Cu 3.20
Pu1 0.0000 0.0000 0.5000  4 As 3.20, 4 Cu 3.20
Pu2 0.0000 0.5000 0.0000  4 As 3.20, 4 Cu 3.20
Pu3 0.5000 0.0000 0.0000  4 As 3.20, 4 Cu 3.20
Pu4 0.5000 0.5000 0.5000  4 As 3.20, 4 Cu 3.20
Cu1 0.2500 0.2500 0.7500  4 Ac 3.20, 4 Pu 3.20
Cu2 0.2500 0.7500 0.2500  4 Ac 3.20, 4 Pu 3.20
Cu3 0.7500 0.2500 0.2500  4 Ac 3.20, 4 Pu 3.20
Cu4 0.7500 0.7500 0.7500  4 Ac 3.20, 4 Pu 3.20
As1 0.2500 0.2500 0.2500  4 Pu 3.20, 4 Ac 3.20
As2 0.2500 0.7500 0.7500  4 Ac 3.20, 4 Pu 3.20
As3 0.7500 0.2500 0.7500  4 Ac 3.20, 4 Pu 3.20
As4 0.7500 0.7500 0.2500  4 Ac 3.20, 4 Pu 3.20

***

Ac2CuAs3Rh4: relaxed, PBE.

Values from the calculation:
total magnetization = 0.00 μB per formula unit
formation energy from the elements = -0.82 eV per atom
calculated total energy = -63.9 eV per formula unit
volume = 19.4 A^3/atom

Unit cell a=4.3453 b=4.3453 c=10.2826 alpha=90.00 beta=90.00 gamma=90.00
Closest atoms and distances in Å follow each position.
Atoms (fractional coordinates):
Ac1 0.0000 0.5000 0.2406  8 Rh 3.29-3.44, 6 As 3.29-3.34, 2 Cu 3.29
Ac2 0.5000 0.0000 0.7594  8 Rh 3.29-3.44, 6 As 3.29-3.34, 2 Cu 3.29
Cu1 0.5000 0.5000 0.0000  4 Rh 2.53
As1 0.0000 0.0000 0.0000  4 Rh 2.53
As2 0.0000 0.5000 0.6331  5 Rh 2.47-2.57
As3 0.5000 0.0000 0.3669  5 Rh 2.47-2.57
Rh1 0.0000 0.0000 0.5000  4 As 2.57
Rh2 0.0000 0.5000 0.8736  3 As 2.47-2.53, 2 Cu 2.53
Rh3 0.5000 0.0000 0.1264  3 As 2.47-2.53, 2 Cu 2.53
Rh4 0.5000 0.5000 0.5000  4 As 2.57

***

Ac2CuAs4Rh3: relaxed, PBE.

Values from the calculation:
total magnetization = 0.00 μB per formula unit
formation energy from the elements = -0.86 eV per atom
calculated total energy = -61.6 eV per formula unit
volume = 19.8 A^3/atom

Unit cell a=4.4600 b=4.4600 c=9.9645 alpha=90.00 beta=90.00 gamma=90.00
Closest atoms and distances in Å follow each position.
Atoms (fractional coordinates):
Ac1 0.0000 0.5000 0.2503  2 Cu 3.34, 7 Rh 3.34-3.65, 8 As 3.35-3.37
Ac2 0.5000 0.0000 0.7497  2 Cu 3.34, 7 Rh 3.34-3.65, 8 As 3.35-3.37
Cu1 0.0000 0.0000 0.5000  4 As 2.58
As1 0.0000 0.0000 0.0000  4 Rh 2.51
As2 0.0000 0.5000 0.6299  3 Rh 2.53-2.58, 2 Cu 2.58
As3 0.5000 0.0000 0.3701  3 Rh 2.53-2.58, 2 Cu 2.58
As4 0.5000 0.5000 0.0000  4 Rh 2.51
Rh1 0.0000 0.5000 0.8842  5 As 2.51-2.53
Rh2 0.5000 0.0000 0.1158  5 As 2.51-2.53
Rh3 0.5000 0.5000 0.5000  4 As 2.58

***

AcCuAs2Rh: relaxed, PBE.

Values from the calculation:
total magnetization = 0.00 μB per formula unit
formation energy from the elements = -0.74 eV per atom
calculated total energy = -28.5 eV per formula unit
volume = 20.0 A^3/atom

Unit cell a=4.3107 b=4.3107 c=10.7772 alpha=90.00 beta=90.00 gamma=90.00
Closest atoms and distances in Å follow each position.
Atoms (fractional coordinates):
Ac1 0.0000 0.0000 0.0000  8 As 3.37, 4 Cu 3.45, 4 Rh 3.45
Ac2 0.5000 0.5000 0.5000  8 As 3.37, 4 Cu 3.45, 4 Rh 3.45
Cu1 0.0000 0.5000 0.7500  4 As 2.50
Cu2 0.5000 0.0000 0.2500  4 As 2.50
As1 0.0000 0.0000 0.3676  2 Rh 2.50, 2 Cu 2.50
As2 0.0000 0.0000 0.6324  2 Cu 2.50, 2 Rh 2.50
As3 0.5000 0.5000 0.1324  2 Cu 2.50, 2 Rh 2.50
As4 0.5000 0.5000 0.8676  2 Rh 2.50, 2 Cu 2.50
Rh1 0.0000 0.5000 0.2500  4 As 2.50
Rh2 0.5000 0.0000 0.7500  4 As 2.50

***

AcCuAsS4: relaxed, PBE.

Values from the calculation:
total magnetization = 0.00 μB per formula unit
calculated total energy = -34.7 eV per formula unit
volume = 24.1 A^3/atom
formation energy without anion corrections = -758 meV/atom

Unit cell a=6.7113 b=6.7113 c=7.4828 alpha=90.00 beta=90.00 gamma=90.00
Closest atoms and distances in Å follow each position.
Atoms (fractional coordinates):
Ac1 0.0000 0.0000 0.0000  8 S 3.07-3.18
Ac2 0.5000 0.5000 0.5000  8 S 3.07-3.18
Cu1 0.0000 0.0000 0.5000  4 S 2.28
Cu2 0.5000 0.5000 0.0000  4 S 2.28
As1 0.0000 0.5000 0.2500  4 S 2.39
As2 0.5000 0.0000 0.7500  4 S 2.39
S1 0.1901 0.7841 0.3376  1 Cu 2.28, 1 As 2.39
S2 0.2159 0.1901 0.6624  1 Cu 2.28, 1 As 2.39
S3 0.2841 0.3099 0.1624  1 Cu 2.28, 1 As 2.39
S4 0.3099 0.7159 0.8376  1 Cu 2.28, 1 As 2.39
S5 0.6901 0.2841 0.8376  1 Cu 2.28, 1 As 2.39
S6 0.7159 0.6901 0.1624  1 Cu 2.28, 1 As 2.39
S7 0.7841 0.8099 0.6624  1 Cu 2.28, 1 As 2.39
S8 0.8099 0.2159 0.3376  1 Cu 2.28, 1 As 2.39

***

AcCuSbAs: relaxed, PBE.

Values from the calculation:
total magnetization = 0.00 μB per formula unit
calculated total energy = -18.1 eV per formula unit
volume = 24.7 A^3/atom
formation energy without anion corrections = -278 meV/atom

Unit cell a=7.3426 b=7.3426 c=7.3426 alpha=90.00 beta=90.00 gamma=90.00
Closest atoms and distances in Å follow each position.
Atoms (fractional coordinates):
Ac1 0.0000 0.0000 0.0000  4 Cu 3.18, 4 As 3.18
Ac2 0.0000 0.5000 0.5000  4 Cu 3.18, 4 As 3.18
Ac3 0.5000 0.0000 0.5000  4 Cu 3.18, 4 As 3.18
Ac4 0.5000 0.5000 0.0000  4 Cu 3.18, 4 As 3.18
Cu1 0.2500 0.2500 0.7500  4 Ac 3.18, 4 Sb 3.18
Cu2 0.2500 0.7500 0.2500  4 Ac 3.18, 4 Sb 3.18
Cu3 0.7500 0.2500 0.2500  4 Ac 3.18, 4 Sb 3.18
Cu4 0.7500 0.7500 0.7500  4 Ac 3.18, 4 Sb 3.18
Sb1 0.0000 0.0000 0.5000  4 As 3.18, 4 Cu 3.18
Sb2 0.0000 0.5000 0.0000  4 As 3.18, 4 Cu 3.18
Sb3 0.5000 0.0000 0.0000  4 As 3.18, 4 Cu 3.18
Sb4 0.5000 0.5000 0.5000  4 As 3.18, 4 Cu 3.18
As1 0.2500 0.2500 0.2500  4 Ac 3.18, 4 Sb 3.18
As2 0.2500 0.7500 0.7500  4 Ac 3.18, 4 Sb 3.18
As3 0.7500 0.2500 0.7500  4 Ac 3.18, 4 Sb 3.18
As4 0.7500 0.7500 0.2500  4 Ac 3.18, 4 Sb 3.18